Record 1
Entry from Alexandria via LeMat-Bulk: an optimized crystal structure of Th5Fe2Au (PBE).

Output
The density of states at the Fermi level comes out at 16.718 states/eV per cell. For the energy, the calculation gives -7.4001 eV/atom. The calculation puts the spin magnetization at 0.00 μB/f.u.

Cell: 8.673 8.673 8.673 Å, 127.74 127.74 77.04°
Fractional coordinates of all 16 atoms:
Th: 0.000 0.000 0.000
Th: 0.023 0.523 0.819
Th: 0.204 0.023 0.500
Th: 0.296 0.796 0.819
Th: 0.477 0.296 0.500
Th: 0.500 0.500 0.000
Th: 0.523 0.704 0.500
Th: 0.704 0.204 0.181
Th: 0.796 0.977 0.500
Th: 0.977 0.477 0.181
Fe: 0.137 0.363 0.500
Fe: 0.363 0.863 0.225
Fe: 0.637 0.137 0.775
Fe: 0.863 0.637 0.500
Au: 0.250 0.250 0.000
Au: 0.750 0.750 0.000

---

Record 2
Entry from Alexandria via LeMat-Bulk: an optimized crystal structure of Th7Fe2Au2 (PBE).

Output
The density of states at the Fermi level comes out at 13.733 states/eV per cell. For the energy, the calculation gives -7.1140 eV/atom. The calculation puts the spin magnetization at 0.00 μB/f.u.

Cell: 9.406 9.406 9.406 Å, 156.99 69.11 115.86°
Fractional coordinates of all 11 atoms:
Th: 0.000 0.000 0.000
Th: 0.281 0.412 0.869
Th: 0.304 0.617 0.687
Th: 0.543 0.412 0.131
Th: 0.622 0.268 0.355
Th: 0.913 0.268 0.645
Th: 0.930 0.617 0.313
Fe: 0.164 0.931 0.233
Fe: 0.698 0.931 0.767
Au: 0.257 0.757 0.500
Au: 0.660 0.660 0.000

---

Record 3
Entry from Alexandria via LeMat-Bulk: an optimized crystal structure of Th6Fe2Au (PBE).

Output
The density of states at the Fermi level comes out at 21.774 states/eV per cell. For the energy, the calculation gives -7.3352 eV/atom. The calculation puts the spin magnetization at 0.00 μB/f.u.

Cell: 8.500 8.500 8.500 Å, 115.64 108.71 104.28°
Fractional coordinates of all 18 atoms:
Th: 0.022 0.226 0.797
Th: 0.178 0.299 0.477
Th: 0.178 0.701 0.879
Th: 0.331 0.026 0.695
Th: 0.331 0.635 0.305
Th: 0.429 0.226 0.203
Th: 0.571 0.774 0.797
Th: 0.669 0.365 0.695
Th: 0.669 0.974 0.305
Th: 0.822 0.299 0.121
Th: 0.822 0.701 0.523
Th: 0.978 0.774 0.203
Fe: 0.133 0.633 0.500
Fe: 0.350 0.000 0.350
Fe: 0.650 0.000 0.650
Fe: 0.867 0.367 0.500
Au: 0.000 0.000 0.000
Au: 0.500 0.500 0.000

---

Record 4
Entry from Alexandria via LeMat-Bulk: an optimized crystal structure of Th4FeAu (PBE).

Output
The density of states at the Fermi level comes out at 13.350 states/eV per cell. For the energy, the calculation gives -7.1529 eV/atom. The calculation puts the spin magnetization at 0.00 μB/f.u. Its energy above the lowest structure with this stoichiometry is 0 meV/atom.

Cell: 7.229 7.229 6.019 Å, 90.00 90.00 90.00°
Fractional coordinates of all 12 atoms:
Th: 0.149 0.317 0.000
Th: 0.149 0.683 0.500
Th: 0.317 0.149 0.500
Th: 0.317 0.851 0.000
Th: 0.683 0.149 0.000
Th: 0.683 0.851 0.500
Th: 0.851 0.317 0.500
Th: 0.851 0.683 0.000
Fe: 0.000 0.000 0.250
Fe: 0.000 0.000 0.750
Au: 0.500 0.500 0.250
Au: 0.500 0.500 0.750

---

Record 5
Entry from Alexandria via LeMat-Bulk: an optimized crystal structure of Th6FeAu2 (PBE).

Output
The density of states at the Fermi level comes out at 7.590 states/eV per cell. For the energy, the calculation gives -6.9543 eV/atom. The calculation puts the spin magnetization at 0.00 μB/f.u.

Cell: 8.605 8.605 3.731 Å, 90.00 90.00 120.00°
Fractional coordinates of all 9 atoms:
Th: 0.000 0.236 0.000
Th: 0.000 0.592 0.500
Th: 0.236 0.000 0.000
Th: 0.408 0.408 0.500
Th: 0.592 0.000 0.500
Th: 0.764 0.764 0.000
Fe: 0.000 0.000 0.500
Au: 0.333 0.667 0.000
Au: 0.667 0.333 0.000

---

Record 6
Entry from Alexandria via LeMat-Bulk: an optimized crystal structure of TiFe2Au2 (PBE).

Output
The density of states at the Fermi level comes out at 8.202 states/eV per cell. For the energy, the calculation gives -6.2124 eV/atom. The calculation puts the spin magnetization at 3.56 μB/f.u. Its energy above the lowest structure with this stoichiometry is 0 meV/atom.

Cell: 6.374 6.374 3.812 Å, 90.00 90.00 90.00°
Fractional coordinates of all 10 atoms:
Ti: 0.000 0.000 0.000
Ti: 0.500 0.500 0.000
Fe: 0.129 0.371 0.000
Fe: 0.371 0.871 0.000
Fe: 0.629 0.129 0.000
Fe: 0.871 0.629 0.000
Au: 0.170 0.670 0.500
Au: 0.330 0.170 0.500
Au: 0.670 0.830 0.500
Au: 0.830 0.330 0.500

---

Record 7
Entry from Alexandria via LeMat-Bulk: an optimized crystal structure of TiFe2Au2 (PBE).

Output
The density of states at the Fermi level comes out at 6.336 states/eV per cell. For the energy, the calculation gives -6.1473 eV/atom. The calculation puts the spin magnetization at 4.51 μB/f.u. Its energy above the lowest structure with this stoichiometry is 65 meV/atom.

Cell: 7.276 7.276 7.276 Å, 152.60 152.60 39.13°
Fractional coordinates of all 5 atoms:
Ti: 0.000 0.000 0.000
Fe: 0.250 0.750 0.500
Fe: 0.750 0.250 0.500
Au: 0.400 0.400 0.000
Au: 0.600 0.600 0.000

---

Record 8
Entry from Alexandria via LeMat-Bulk: an optimized crystal structure of TiFe2Au (PBE).

Output
The density of states at the Fermi level comes out at 7.030 states/eV per cell. For the energy, the calculation gives -6.7201 eV/atom. The calculation puts the spin magnetization at 3.92 μB/f.u. Its energy above the lowest structure with this stoichiometry is 448 meV/atom.

Cell: 9.360 9.360 9.360 Å, 156.90 156.90 32.89°
Fractional coordinates of all 8 atoms:
Ti: 0.000 0.000 0.000
Ti: 0.750 0.250 0.500
Fe: 0.104 0.625 0.979
Fe: 0.375 0.354 0.479
Fe: 0.646 0.125 0.021
Fe: 0.875 0.896 0.521
Au: 0.250 0.750 0.500
Au: 0.500 0.500 0.000

---

Record 9
Entry from Alexandria via LeMat-Bulk: an optimized crystal structure of TiFe2Au (PBE).

Output
The density of states at the Fermi level comes out at 6.461 states/eV per cell. For the energy, the calculation gives -6.8732 eV/atom. The calculation puts the spin magnetization at 0.00 μB/f.u. Its energy above the lowest structure with this stoichiometry is 294 meV/atom.

Cell: 4.246 4.246 4.246 Å, 60.00 60.00 60.00°
Fractional coordinates of all 4 atoms:
Ti: 0.000 0.000 0.000
Fe: 0.250 0.250 0.250
Fe: 0.750 0.750 0.750
Au: 0.500 0.500 0.500

---

Record 10
Entry from Alexandria via LeMat-Bulk: an optimized crystal structure of TiFe2Au (PBE).

Output
The density of states at the Fermi level comes out at 3.617 states/eV per cell. For the energy, the calculation gives -7.1676 eV/atom. The calculation puts the spin magnetization at 2.79 μB/f.u. Its energy above the lowest structure with this stoichiometry is 0 meV/atom.

Cell: 3.869 3.869 3.712 Å, 90.00 90.00 90.00°
Fractional coordinates of all 4 atoms:
Ti: 0.000 0.000 0.000
Fe: 0.000 0.500 0.500
Fe: 0.500 0.000 0.500
Au: 0.500 0.500 0.000

---

Record 11
Entry from Alexandria via LeMat-Bulk: an optimized crystal structure of TiFeAu3 (PBE).

Output
The density of states at the Fermi level comes out at 12.001 states/eV per cell. For the energy, the calculation gives -4.2510 eV/atom. The calculation puts the spin magnetization at 0.00 μB/f.u. Its energy above the lowest structure with this stoichiometry is 0 meV/atom.

Cell: 4.711 4.711 4.711 Å, 90.00 90.00 90.00°
Fractional coordinates of all 5 atoms:
Ti: 0.000 0.000 0.000
Fe: 0.500 0.500 0.500
Au: 0.000 0.500 0.500
Au: 0.500 0.000 0.500
Au: 0.500 0.500 0.000

---

Record 12
Entry from Alexandria via LeMat-Bulk: an optimized crystal structure of TlFeAu2 (PBE).

Output
The density of states at the Fermi level comes out at 3.824 states/eV per cell. For the energy, the calculation gives -4.0343 eV/atom. The calculation puts the spin magnetization at 2.73 μB/f.u. Its energy above the lowest structure with this stoichiometry is 129 meV/atom.

Cell: 4.161 4.189 4.221 Å, 90.00 90.00 90.00°
Fractional coordinates of all 4 atoms:
Tl: 0.000 0.000 0.000
Fe: 0.000 0.500 0.500
Au: 0.500 0.000 0.500
Au: 0.500 0.500 0.000

---

no.,ΔE_f (eV per formula unit)
1,-1.899
2,-2.835
3,-1.295
4,-1.498
5,-3.052
6,0.313
7,0.639
8,1.217
9,0.605
10,-0.573
11,4.935
12,1.246